Record 1
A geometry-optimized KLaIn2Au structure. Source: Alexandria, functional PBEsol.

Results
The final energy is -2.2316 eV/atom. For the energy of formation from the pure elements, the calculation gives 5.2 eV per formula unit. For the density of states at the Fermi level, the calculation gives 7.248 states/eV/cell.

a = 5.8545 Å, b = 5.8545 Å, c = 6.6177 Å
α = 90.00°, β = 90.00°, γ = 90.00°
With the nearest neighbours (Å) after each atom.
Sites, in units of the cell vectors:
K 0.0000 0.0000 0.5000  2 La 3.31
In 0.5000 0.0000 0.0000  2 La 2.93
In 0.0000 0.5000 0.0000  2 La 2.93
Au 0.5000 0.5000 0.5000  4 K 4.14, 8 In 4.42
La 0.0000 0.0000 0.0000  4 In 2.93



Record 2
A geometry-optimized DyFe4Cu3O12 structure. Source: Alexandria, functional PBEsol.

Results
As for the formation energy without anion corrections: -1.390 eV/atom. The final energy is -7.2314 eV/atom. For the density of states at the Fermi level, the calculation gives 12.898 states/eV/cell.

a = 6.1606 Å, b = 6.1606 Å, c = 6.1606 Å
α = 109.47°, β = 109.47°, γ = 109.47°
With the nearest neighbours (Å) after each atom.
Sites, in units of the cell vectors:
Fe 0.5000 0.0000 0.0000  6 O 1.89
Fe 0.5000 0.5000 0.5000  6 O 1.89
Fe 0.0000 0.5000 0.0000  6 O 1.89
Fe 0.0000 0.0000 0.5000  6 O 1.89
Cu 0.5000 0.0000 0.5000  4 O 1.90
Cu 0.5000 0.5000 0.0000  4 O 1.90
Cu 0.0000 0.5000 0.5000  4 O 1.90
O 0.3005 0.8229 0.1234  2 Fe 1.89, 1 Cu 1.90
O 0.1771 0.4776 0.3005  2 Fe 1.89, 1 Cu 1.90
O 0.3005 0.1771 0.4776  2 Fe 1.89, 1 Cu 1.90
O 0.4776 0.3005 0.1771  2 Fe 1.89, 1 Cu 1.90
O 0.1771 0.8766 0.6995  2 Fe 1.89, 1 Cu 1.90
O 0.8766 0.6995 0.1771  2 Fe 1.89, 1 Cu 1.90
O 0.6995 0.8229 0.5224  2 Fe 1.89, 1 Cu 1.90
O 0.5224 0.6995 0.8229  2 Fe 1.89, 1 Cu 1.90
O 0.6995 0.1771 0.8766  2 Fe 1.89, 1 Cu 1.90
O 0.8229 0.5224 0.6995  2 Fe 1.89, 1 Cu 1.90
O 0.8229 0.1234 0.3005  2 Fe 1.89, 1 Cu 1.90
O 0.1234 0.3005 0.8229  2 Fe 1.89, 1 Cu 1.90
Dy 0.0000 0.0000 0.0000  12 O 2.48



Record 3
A geometry-optimized ZrPRu2 structure. Source: Alexandria, functional PBEsol.

Results
The final energy is -9.2554 eV/atom. For the energy of formation from the pure elements, the calculation gives -1.8 eV per formula unit. For the density of states at the Fermi level, the calculation gives 2.890 states/eV/cell.

a = 2.9296 Å, b = 2.9296 Å, c = 6.7176 Å
α = 90.00°, β = 90.00°, γ = 90.00°
With the nearest neighbours (Å) after each atom.
Sites, in units of the cell vectors:
Ru 0.0000 0.0000 0.7020  4 P 2.48, 1 Ru 2.71
Ru 0.0000 0.0000 0.2980  4 P 2.48, 1 Ru 2.71
P 0.5000 0.5000 0.5000  8 Ru 2.48
Zr 0.5000 0.5000 0.0000  8 Ru 2.88, 4 Zr 2.93



Record 4
A geometry-optimized Tl2ZnOs structure. Source: Alexandria, functional PBEsol.

Results
The final energy is -3.9417 eV/atom. For the energy of formation from the pure elements, the calculation gives 3.3 eV per formula unit. For the density of states at the Fermi level, the calculation gives 3.147 states/eV/cell.

a = 3.1416 Å, b = 4.6412 Å, c = 5.1903 Å
α = 90.00°, β = 90.00°, γ = 90.00°
With the nearest neighbours (Å) after each atom.
Sites, in units of the cell vectors:
Tl 0.0000 0.0000 0.0000  4 Zn 2.80, 4 Tl 3.03
Tl 0.5000 0.0000 0.5000  4 Os 2.80, 4 Tl 3.03
Os 0.0000 0.5000 0.5000  4 Tl 2.80, 4 Zn 3.03
Zn 0.5000 0.5000 0.0000  4 Tl 2.80, 4 Os 3.03



Record 5
A geometry-optimized LiFeAg4 structure. Source: Alexandria, functional PBEsol.

Results
The final energy is -3.6427 eV/atom. For the energy of formation from the pure elements, the calculation gives 2.3 eV per formula unit. For the density of states at the Fermi level, the calculation gives 4.756 states/eV/cell.

a = 5.3171 Å, b = 5.3171 Å, c = 5.3171 Å
α = 60.00°, β = 60.00°, γ = 60.00°
With the nearest neighbours (Å) after each atom.
Sites, in units of the cell vectors:
Ag 0.3751 0.3751 0.8746  6 Ag 2.66
Ag 0.3751 0.8746 0.3751  6 Ag 2.66
Ag 0.8746 0.3751 0.3751  6 Ag 2.66
Ag 0.3751 0.3751 0.3751  6 Ag 2.66
Li 0.0000 0.0000 0.0000  12 Ag 3.12, 4 Fe 3.26
Fe 0.7500 0.7500 0.7500  12 Ag 3.12, 4 Li 3.26



Record 6
A geometry-optimized SrTaNbCr2 structure. Source: Alexandria, functional PBEsol.

Results
The final energy is -7.8378 eV/atom. For the energy of formation from the pure elements, the calculation gives 6.5 eV per formula unit. For the density of states at the Fermi level, the calculation gives 4.945 states/eV/cell.

a = 4.8607 Å, b = 4.8607 Å, c = 4.9298 Å
α = 90.00°, β = 90.00°, γ = 90.00°
With the nearest neighbours (Å) after each atom.
Sites, in units of the cell vectors:
Nb 0.0000 0.0000 0.5000  2 Ta 2.46
Sr 0.5000 0.5000 0.5000  4 Nb 3.44, 8 Cr 3.46
Ta 0.0000 0.0000 0.0000  4 Cr 2.43, 2 Nb 2.46
Cr 0.5000 0.0000 0.0000  2 Ta 2.43
Cr 0.0000 0.5000 0.0000  2 Ta 2.43



Record 7
A geometry-optimized LaSiOs2 structure. Source: Alexandria, functional PBEsol.

Results
As for the formation energy without anion corrections: 0.022 eV/atom. The final energy is -8.8587 eV/atom. For the density of states at the Fermi level, the calculation gives 3.731 states/eV/cell.

a = 3.0004 Å, b = 3.0004 Å, c = 7.3664 Å
α = 90.00°, β = 90.00°, γ = 90.00°
With the nearest neighbours (Å) after each atom.
Sites, in units of the cell vectors:
La 0.5000 0.5000 0.5000  4 La 3.00, 8 Os 3.14
Os 0.0000 0.0000 0.1854  4 Si 2.52, 1 Os 2.73
Os 0.0000 0.0000 0.8146  4 Si 2.52, 1 Os 2.73
Si 0.5000 0.5000 0.0000  8 Os 2.52



Record 8
A geometry-optimized KCaIn2 structure. Source: Alexandria, functional PBEsol.

Results
The final energy is -2.4541 eV/atom. For the energy of formation from the pure elements, the calculation gives -0.6 eV per formula unit. For the density of states at the Fermi level, the calculation gives 2.393 states/eV/cell.

a = 5.5500 Å, b = 5.5500 Å, c = 5.5500 Å
α = 60.00°, β = 60.00°, γ = 60.00°
With the nearest neighbours (Å) after each atom.
Sites, in units of the cell vectors:
Ca 0.5000 0.5000 0.5000  8 In 3.40
K 0.0000 0.0000 0.0000  8 In 3.40
In 0.2500 0.2500 0.2500  4 K 3.40, 4 Ca 3.40
In 0.7500 0.7500 0.7500  4 Ca 3.40, 4 K 3.40